Here is Rb2In3SnBr6 after structural relaxation from Alexandria. Energies are from PBE-GGA.

Its total energy is -2.91 eV per atom. The value obtained for the total moment is 1.0 μB/f.u. As for the uncorrected formation energy: -20.7 kcal/mol of atoms.

It has space group C2/m (No. 12), with a = 7.985 Å, b = 14.120 Å, c = 9.022 Å, α = 90.00°, β = 112.57° and γ = 90.00°. The distinct sites, in fractional coordinates, are Rb at (0.000, 0.155, 0.000), In at (0.000, 0.000, 0.500), In at (0.000, 0.332, 0.500), Sn at (0.000, 0.500, 0.000), Br at (0.216, 0.345, 0.235) and Br at (0.242, 0.500, 0.702).